[1]
This record from Alexandria describes a relaxed structure of BPSeS2. The functional is GGA-PBEsol.

Computed properties:
total magnetization = 0.000 μB per formula unit
E_tot = -21.89 eV for the cell shown
formation energy (no corrections) = 707 meV per atom

abc: 4.0365 4.0365 4.4006
angles: 90.00 90.00 90.00
Fractional positions:
B  0.0000  0.0000  0.0000
P  0.0000  0.0000  0.5000
Se  0.5000  0.5000  0.5000
S  0.0000  0.5000  0.0000
S  0.5000  0.0000  0.0000

---

[2]
This record from Alexandria describes a relaxed structure of SiBPS2. The functional is GGA-PBEsol.

Computed properties:
total magnetization = 0.000 μB per formula unit
E_tot = -24.01 eV for the cell shown
formation energy (no corrections) = 663 meV per atom

abc: 4.1798 4.1798 4.0028
angles: 90.00 90.00 90.00
Fractional positions:
Si  0.0000  0.0000  0.0000
B  0.5000  0.5000  0.5000
P  0.5000  0.5000  0.0000
S  0.0000  0.5000  0.5000
S  0.5000  0.0000  0.5000